# 1
Compound: PuHf2Tl3Te6
Source: Alexandria
Functional: PBE
Structure: optimized geometry

Properties
Calculated total energy: -5.657 eV per atom
Symmetry: C2/m (12)

POSCAR file:
```
PuHf2Tl3Te6
1.0
7.354 0.002 -0.001
-3.673 6.371 -0.001
-1.229 -2.128 8.329
Tl Te Hf Pu
3 6 2 1
Cartesian
-2.566 4.312 4.164
5.018 -0.068 4.164
1.226 2.122 4.164
-1.300 2.265 1.748
-0.160 4.239 6.580
3.752 1.980 6.580
2.612 0.006 1.748
2.370 4.104 1.680
0.081 0.140 6.648
3.705 2.109 -0.001
-0.025 4.264 -0.001
0.000 0.000 0.000
```

# 2
Compound: MnNbPt14
Source: Alexandria
Functional: PBE
Structure: optimized geometry

Properties
Calculated formation energy: -0.283 eV per atom
Calculated total energy: -6.772 eV per atom
Symmetry: P4/mmm (123)

POSCAR file:
```
MnNbPt14
1.0
5.635 -0.012 0.000
0.012 5.635 0.000
0.000 0.000 7.871
Pt Mn Nb
14 1 1
Cartesian
0.708 0.705 2.017
0.714 3.518 5.855
3.527 3.512 2.017
4.935 2.103 0.000
2.124 4.926 3.936
0.708 0.705 5.855
2.124 4.926 0.000
4.935 2.103 3.936
3.521 0.699 5.855
3.527 3.512 5.855
3.521 0.699 2.016
0.714 3.518 2.016
4.941 4.920 0.000
2.118 2.109 0.000
2.118 2.109 3.936
4.941 4.920 3.936
```

# 3
Compound: HgGeI2N
Source: Alexandria
Functional: PBE
Structure: optimized geometry

Properties
Calculated total energy: -2.759 eV per atom
Polymorph energy (0 for the lowest one): 0 meV per atom
Symmetry: P4/mmm (123)

POSCAR file:
```
HgGeI2N
1.0
6.319 0.000 0.000
0.000 6.319 0.000
0.000 0.000 3.476
I Ge Hg N
2 1 1 1
Cartesian
3.159 0.000 0.000
0.000 3.159 0.000
0.000 0.000 0.000
3.159 3.159 1.738
0.000 0.000 1.738
```

# 4
Compound: TcNi2Cl
Source: Alexandria
Functional: PBE
Structure: optimized geometry

Properties
Calculated total energy: -5.667 eV per atom
Polymorph energy (0 for the lowest one): 86 meV per atom
Symmetry: Cmmm (65)

POSCAR file:
```
TcNi2Cl
1.0
2.765 0.031 0.000
-0.026 2.766 0.000
0.000 0.000 7.042
Ni Tc Cl
2 1 1
Cartesian
0.000 0.000 0.041
0.000 0.000 3.480
1.370 1.398 1.761
1.370 1.398 5.282
```

# 5
Compound: AgPd4Pt3
Source: Alexandria
Functional: PBE
Structure: optimized geometry

Properties
Calculated formation energy: -0.003 eV per atom
Calculated total energy: -5.221 eV per atom
Polymorph energy (0 for the lowest one): 0 meV per atom
Symmetry: P-1 (2)

POSCAR file:
```
AgPd4Pt3
1.0
-2.681 0.238 -4.034
1.535 -1.994 -3.099
-2.155 -7.049 0.909
Pt Pd Ag
3 4 1
Cartesian
-2.419 -6.580 -4.650
-1.651 -4.403 -3.112
-0.882 -2.225 -1.574
-0.999 -1.982 -4.348
-1.469 -4.632 -0.310
-1.832 -4.173 -5.915
-2.303 -6.823 -1.876
0.000 0.000 0.000
```

# 6
Compound: RbMnCuAs2
Source: Alexandria
Functional: PBE
Structure: optimized geometry

Properties
Calculated formation energy: -0.158 eV per atom
Calculated total energy: -4.865 eV per atom
Symmetry: Cmme (67)

POSCAR file:
```
RbMnCuAs2
1.0
5.516 0.000 0.000
0.000 5.480 0.000
0.000 -2.740 7.730
As Mn Rb Cu
4 2 2 2
Cartesian
1.695 0.000 1.629
3.821 2.740 1.629
1.695 0.000 6.101
3.821 2.740 6.101
2.758 4.110 0.000
2.758 1.370 0.000
4.294 0.000 3.865
1.222 2.740 3.865
0.000 0.000 0.000
0.000 2.740 0.000
```

# 7
Compound: Ce3Re2Si4
Source: Alexandria
Functional: PBE
Structure: optimized geometry

Properties
Calculated total energy: -7.694 eV per atom
Symmetry: C2/m (12)

POSCAR file:
```
Ce3Re2Si4
1.0
4.262 0.000 0.000
-2.131 5.437 -0.139
0.000 -2.389 7.848
Ce Si Re
3 4 2
Cartesian
2.131 -0.380 5.433
0.000 3.428 2.276
0.000 0.000 0.000
2.131 2.178 0.533
2.131 2.931 4.533
0.000 0.117 3.176
0.000 0.870 7.176
2.131 1.181 2.746
0.000 1.867 4.963
```

# 8
Compound: CdRu2W
Source: Alexandria
Functional: PBE
Structure: optimized geometry

Properties
Calculated formation energy: 0.317 eV per atom
Calculated total energy: -7.788 eV per atom
Symmetry: P4/mmm (123)

POSCAR file:
```
CdRu2W
1.0
3.205 0.000 0.000
0.000 4.433 0.000
0.000 0.000 4.433
W Ru Cd
1 2 1
Cartesian
1.602 2.217 0.000
0.000 2.217 2.217
0.000 0.000 0.000
1.602 0.000 2.217
```

# 9
Compound: LaPrYTm
Source: Alexandria
Functional: PBE
Structure: optimized geometry

Properties
Calculated formation energy: 0.094 eV per atom
Calculated total energy: -5.067 eV per atom
Polymorph energy (0 for the lowest one): 10 meV per atom
Symmetry: Cm (8)

POSCAR file:
```
LaPrYTm
1.0
3.811 0.000 0.627
0.000 5.923 0.000
1.009 -2.962 6.221
La Y Pr Tm
1 1 1 1
Cartesian
1.767 0.000 1.941
1.514 2.962 4.853
3.429 0.000 5.452
3.769 2.962 2.372
```

# 10
Compound: LaBeInAg2
Source: Alexandria
Functional: PBE
Structure: optimized geometry

Properties
Calculated formation energy: -0.065 eV per atom
Calculated total energy: -3.483 eV per atom
Symmetry: P4/mmm (123)

POSCAR file:
```
LaBeInAg2
1.0
4.770 0.000 0.000
0.000 4.770 0.000
0.000 0.000 4.780
Ag La Be In
2 1 1 1
Cartesian
0.000 2.385 0.000
2.385 0.000 0.000
2.385 2.385 2.390
0.000 0.000 0.000
0.000 0.000 2.390
```

# 11
Compound: KSrFe
Source: Alexandria
Functional: PBE
Structure: optimized geometry

Properties
Calculated formation energy: 0.765 eV per atom
Calculated total energy: -2.983 eV per atom
Polymorph energy (0 for the lowest one): 0 meV per atom
Symmetry: I4mm (107)

POSCAR file:
```
KSrFe
1.0
8.430 0.240 0.000
6.570 5.288 0.000
-7.500 -2.764 2.690
Sr K Fe
1 1 1
Cartesian
9.357 3.448 0.000
5.452 2.009 0.000
0.191 0.071 0.000
```

# 12
Compound: GeBi2Au2
Source: Alexandria
Functional: PBE
Structure: optimized geometry

Properties
Calculated formation energy: 0.132 eV per atom
Calculated total energy: -3.655 eV per atom
Polymorph energy (0 for the lowest one): 120 meV per atom
Symmetry: I4/mmm (139)

POSCAR file:
```
GeBi2Au2
1.0
3.890 0.000 0.000
0.000 3.890 0.000
1.945 1.945 8.294
Bi Au Ge
2 2 1
Cartesian
1.945 1.945 1.697
3.890 3.890 6.597
1.945 3.890 4.147
3.890 1.945 4.147
0.000 0.000 0.000
```